No. 1
## La3PdO6 (PBE)

Data for a relaxed structure of La3PdO6.

Lattice parameters (Å, degrees): 6.8791 6.8788 6.8789 97.88 97.88 97.88
Last column: nearest neighbours and their distance in Å.
Fractional positions:
O: 0.1901 0.5827 0.4369  1 Pd 2.28, 3 La 2.40-2.51
Pd: 0.0000 0.0000 0.0000  6 O 2.11
O: 0.9414 0.7028 0.0487  1 Pd 2.11
La: 0.7181 0.4012 0.8862  6 O 2.40-2.54
O: 0.7028 0.0486 0.9414  1 Pd 2.11
O: 0.4173 0.5631 0.8099  1 Pd 2.28, 3 La 2.40-2.51
O: 0.4369 0.1901 0.5827  1 Pd 2.28, 3 La 2.40-2.51
La: 0.8862 0.7181 0.4012  6 O 2.40-2.54
O: 0.9514 0.0586 0.2972  1 Pd 2.11
O: 0.8099 0.4173 0.5631  1 Pd 2.28, 3 La 2.40-2.51
O: 0.5631 0.8099 0.4173  1 Pd 2.28, 3 La 2.40-2.51
O: 0.0486 0.9414 0.7028  1 Pd 2.11
O: 0.0586 0.2972 0.9513  1 Pd 2.11
La: 0.1138 0.2819 0.5988  6 O 2.40-2.54
La: 0.2819 0.5988 0.1138  6 O 2.40-2.54
La: 0.5988 0.1138 0.2819  6 O 2.40-2.54
O: 0.2972 0.9514 0.0586  1 Pd 2.11
La: 0.4012 0.8862 0.7181  6 O 2.40-2.54
Pd: 0.5000 0.5000 0.5000  6 O 2.28
O: 0.5827 0.4369 0.1901  1 Pd 2.28, 3 La 2.40-2.51

Summary:
Polymorph energy (0 for the lowest one) in eV/atom: 0.000
Total magnetization in μB/f.u.: 1.00



No. 2
## La2PdO4 (PBE)

Data for a relaxed structure of La2PdO4.

Lattice parameters (Å, degrees): 5.7683 5.7696 7.1078 113.95 90.00 90.00
Last column: nearest neighbours and their distance in Å.
Fractional positions:
La: 0.0000 0.6542 0.3084  6 O 2.36-2.56
La: 0.0000 0.3458 0.6916  6 O 2.36-2.56
La: 0.5000 0.8458 0.6916  6 O 2.36-2.56
Pd: 0.5000 0.5000 0.0000  4 O 2.09
O: 0.6949 0.1949 0.0000  2 Pd 2.09
La: 0.5000 0.1542 0.3084  6 O 2.36-2.56
O: 0.7500 0.0077 0.5000  4 La 2.36-2.42
O: 0.2500 0.9923 0.5000  4 La 2.36-2.42
O: 0.7500 0.5077 0.5000  4 La 2.36-2.42
O: 0.8051 0.6949 0.0000  2 Pd 2.09
Pd: 0.0000 0.0000 0.0000  4 O 2.09
O: 0.1949 0.3051 0.0000  2 Pd 2.09
O: 0.2500 0.4923 0.5000  4 La 2.36-2.42
O: 0.3051 0.8051 0.0000  2 Pd 2.09

Summary:
Polymorph energy (0 for the lowest one) in eV/atom: 0.000
Total magnetization in μB/f.u.: 0.00



No. 3
## La3PdO6 (PBE)

Data for a relaxed structure of La3PdO6.

Lattice parameters (Å, degrees): 5.7380 7.5273 7.5273 101.08 90.00 90.00
Last column: nearest neighbours and their distance in Å.
Fractional positions:
La: 0.9682 0.6752 0.9100  6 O 2.37-2.60
O: 0.6996 0.3335 0.3540  4 La 2.37-2.45
La: 0.4682 0.9100 0.6752  6 O 2.37-2.60
O: 0.1996 0.6665 0.6460  4 La 2.37-2.45
Pd: 0.9707 0.1318 0.8682  5 O 2.01-2.20
O: 0.1577 0.3911 0.8970  1 Pd 2.20, 2 La 2.38-2.41
O: 0.1577 0.1030 0.6089  1 Pd 2.20, 2 La 2.38-2.41
O: 0.7685 0.9808 0.0192  2 Pd 2.10-2.15
O: 0.6576 0.8970 0.3911  1 Pd 2.20, 2 La 2.38-2.41
La: 0.4682 0.3248 0.0900  6 O 2.37-2.60
O: 0.6576 0.6089 0.1030  1 Pd 2.20, 2 La 2.38-2.41
La: 0.4232 0.3934 0.6066  7 O 2.39-2.67
O: 0.1996 0.3540 0.3335  4 La 2.37-2.45
O: 0.6721 0.2215 0.7785  1 Pd 2.01
Pd: 0.4707 0.8682 0.1318  5 O 2.01-2.20
La: 0.9232 0.6066 0.3934  7 O 2.39-2.67
O: 0.6996 0.6460 0.6665  4 La 2.37-2.45
O: 0.1721 0.7785 0.2215  1 Pd 2.01
O: 0.2685 0.0192 0.9808  2 Pd 2.10-2.15
La: 0.9682 0.0900 0.3248  6 O 2.37-2.60

Summary:
Polymorph energy (0 for the lowest one) in eV/atom: 0.015
Total magnetization in μB/f.u.: 1.01



No. 4
## La2Pd2O7 (PBE)

Data for a relaxed structure of La2Pd2O7.

Lattice parameters (Å, degrees): 7.4987 7.4987 7.4987 60.00 60.00 60.00
Last column: nearest neighbours and their distance in Å.
Fractional positions:
O: 0.2074 0.7926 0.2074  2 Pd 2.07
O: 0.7926 0.2074 0.2074  2 Pd 2.07
O: 0.7926 0.2074 0.7926  2 Pd 2.07
O: 0.0426 0.0426 0.4574  2 Pd 2.07
La: 0.6250 0.6250 0.6250  2 O 2.30
La: 0.1250 0.6250 0.6250  2 O 2.30
O: 0.4574 0.0426 0.0426  2 Pd 2.07
O: 0.2074 0.2074 0.7926  2 Pd 2.07
O: 0.0426 0.4574 0.4574  2 Pd 2.07
O: 0.7926 0.7926 0.2074  2 Pd 2.07
O: 0.4574 0.4574 0.0426  2 Pd 2.07
O: 0.5000 0.5000 0.5000  4 La 2.30
O: 0.0426 0.4574 0.0426  2 Pd 2.07
Pd: 0.6250 0.1250 0.1250  6 O 2.07
La: 0.6250 0.6250 0.1250  2 O 2.30
La: 0.6250 0.1250 0.6250  2 O 2.30
Pd: 0.1250 0.1250 0.1250  6 O 2.07
Pd: 0.1250 0.6250 0.1250  6 O 2.07
O: 0.7500 0.7500 0.7500  4 La 2.30
O: 0.4574 0.0426 0.4574  2 Pd 2.07
O: 0.2074 0.7926 0.7926  2 Pd 2.07
Pd: 0.1250 0.1250 0.6250  6 O 2.07

Summary:
Total magnetization in μB/f.u.: 0.00
E_tot in eV per atom: -6.8233



No. 5
## LaPm2PdO5 (PBE)

Data for a relaxed structure of LaPm2PdO5.

Lattice parameters (Å, degrees): 6.0025 6.6042 6.6042 90.00 90.00 90.00
Last column: nearest neighbours and their distance in Å.
Fractional positions:
La: 0.0000 0.5000 0.5000  10 O 2.88-3.00
O: 0.7550 0.6627 0.8373  1 Pd 2.11, 1 Pm 2.22
Pm: 0.5000 0.6654 0.1654  4 O 2.22-2.47
O: 0.2450 0.6627 0.8373  1 Pd 2.11, 1 Pm 2.22
O: 0.5000 0.5000 0.5000  4 Pm 2.47
Pm: 0.5000 0.8346 0.6654  4 O 2.22-2.47
Pm: 0.5000 0.3346 0.8346  4 O 2.22-2.47
O: 0.2450 0.8373 0.3373  1 Pd 2.11, 1 Pm 2.22
O: 0.2450 0.1627 0.6627  1 Pd 2.11, 1 Pm 2.22
Pd: 0.0000 0.5000 0.0000  4 O 2.11
Pm: 0.5000 0.1654 0.3346  4 O 2.22-2.47
O: 0.5000 0.0000 0.0000  4 Pm 2.47
O: 0.2450 0.3373 0.1627  1 Pd 2.11, 1 Pm 2.22
O: 0.7550 0.8373 0.3373  1 Pd 2.11, 1 Pm 2.22
O: 0.7550 0.1627 0.6627  1 Pd 2.11, 1 Pm 2.22
O: 0.7550 0.3373 0.1627  1 Pd 2.11, 1 Pm 2.22
La: 0.0000 0.0000 0.0000  10 O 2.88-3.00
Pd: 0.0000 0.0000 0.5000  4 O 2.11

Summary:
Total magnetization in μB/f.u.: 0.70
E_tot in eV per atom: -7.5163



No. 6
## LaPmPdO4 (PBE)

Data for a relaxed structure of LaPmPdO4.

Lattice parameters (Å, degrees): 6.5905 7.0773 7.0980 120.10 90.00 117.75
Last column: nearest neighbours and their distance in Å.
Fractional positions:
O: 0.2155 0.8478 0.1739  1 La 2.23, 2 Pm 2.38
O: 0.7285 0.4570 0.6589  2 Pd 2.10
O: 0.3677 0.1522 0.8261  1 La 2.23, 2 Pm 2.38
Pd: 0.0000 0.5000 0.5000  4 O 2.10
O: 0.6323 0.8478 0.1739  1 La 2.23, 2 Pm 2.38
O: 0.7845 0.1522 0.8261  1 La 2.23, 2 Pm 2.38
La: 0.1865 0.3731 0.9365  4 O 2.23-2.43
La: 0.8135 0.6269 0.0635  4 O 2.23-2.43
O: 0.2715 0.5430 0.3411  2 Pd 2.10
O: 0.2715 0.5430 0.7018  2 Pd 2.10
Pm: 0.5000 0.0000 0.0000  6 O 2.38-2.41
Pm: 0.5000 0.0000 0.5000  6 O 2.38-2.41
O: 0.7285 0.4570 0.2982  2 Pd 2.10
Pd: 0.5000 0.5000 0.5000  4 O 2.10

Summary:
Total magnetization in μB/f.u.: 0.00
E_tot in eV per atom: -7.3943



Which value of total magnetization does entry 6 give?
0.00 μB/f.u.



The highest total magnetization belongs to which entry?
number 3



Number 3 is which compound?
La3PdO6